{"formula": "TaTeMo2", "functional": "PBE-GGA", "state": "optimized geometry", "cell": [[0.000, 3.281, 3.281], [3.281, 0.000, 3.281], [3.281, 3.281, 0.000]], "species": ["Ta", "Te", "Mo", "Mo"], "fractional_positions": [[0.000, 0.000, 0.000], [0.250, 0.250, 0.250], [0.500, 0.500, 0.500], [0.750, 0.750, 0.750]], "vol_a3_per_fu": 70.63, "magnetic_moment_mub_per_fu": 0.40, "formation_energy_uncorrected_mev_per_atom": 481}